1.
Rb3Ho2ScS6: optimized geometry, PBE.

Geometry as POSCAR:
```
Rb3Ho2ScS6
1.0
3.4630 -5.9979 0.0000
3.4630 5.9979 0.0000
-2.3103 0.0000 7.6595
Rb Ho Sc S
3 2 1 6
Cartesian
0.0000 0.0000 0.0000
3.4630 2.0187 0.0000
3.4630 -2.0187 0.0000
2.3078 4.0003 3.8297
2.3078 -4.0003 3.8297
2.3078 0.0000 3.8297
1.1913 1.9340 2.3890
0.0742 0.0000 5.2750
1.1913 -1.9340 2.3890
3.4243 1.9340 5.2704
4.5414 0.0000 2.3845
3.4243 -1.9340 5.2704
```

Summary:
The total magnetization is 0.00 μB/f.u. For the raw formation energy, the calculation gives -21.63 eV per formula unit. For the mass density, the calculation gives 4.30 g cm⁻³.

***

2.
NiPtW: optimized geometry, PBE.

Geometry as POSCAR:
```
NiPtW
1.0
2.7744 0.0000 0.0000
-1.3872 2.4027 0.0000
0.0000 0.0000 6.5052
Ni Pt W
1 1 1
Cartesian
0.0000 0.0000 0.0000
1.3872 0.8009 2.1757
0.0000 1.6018 4.4509
```

Summary:
The total magnetization is 0.00 μB/f.u. The value obtained for the distance to the lowest polymorph of the same formula is 73 kJ/mol of formula units. For the mass density, the calculation gives 16.76 g cm⁻³. As for the formation energy: 0.012 eV/atom.